Entry 1:
A plane-wave DFT calculation with PBE-GGA was carried out for a geometry-optimized CaLaY2 structure.

Cell lengths 5.8559, 5.8559, 5.8559 Å; angles 60.00, 60.00, 60.00 degrees
Closest atoms and distances in Å follow each position.
Atoms (fractional coordinates):
Y1 0.2500 0.2500 0.2500  4 La 3.59, 4 Ca 3.59
Y2 0.7500 0.7500 0.7500  4 La 3.59, 4 Ca 3.59
Ca1 0.0000 0.0000 0.0000  8 Y 3.59
La1 0.5000 0.5000 0.5000  8 Y 3.59

Electronic total energy   -4.81 eV per atom
Crystal system   cubic
Size of the total moment   0.0 Bohr magnetons per cell
Excess energy over the best structure of this formula in the dataset   97 meV/atom
E_form   0.15 eV per atom

Entry 2:
A plane-wave DFT calculation with PBE-GGA was carried out for a geometry-optimized NdSmFeAg structure.

Cell lengths 5.1172, 5.1172, 5.1172 Å; angles 60.00, 60.00, 60.00 degrees
Closest atoms and distances in Å follow each position.
Atoms (fractional coordinates):
Nd1 0.2500 0.2500 0.2500  4 Ag 3.13, 4 Fe 3.13
Fe1 0.5000 0.5000 0.5000  4 Nd 3.13, 4 Sm 3.13
Ag1 0.0000 0.0000 0.0000  4 Sm 3.13, 4 Nd 3.13
Sm1 0.7500 0.7500 0.7500  4 Ag 3.13, 4 Fe 3.13

Electronic total energy   -5.14 eV per atom
Crystal system   cubic
Size of the total moment   1.3 Bohr magnetons per cell
E_form   0.06 eV per atom

Entry 3:
A plane-wave DFT calculation with PBE-GGA was carried out for a geometry-optimized Ce6SiSe12 structure.

Cell lengths 8.2421, 8.2421, 8.2421 Å; angles 99.40, 99.40, 99.40 degrees
Closest atoms and distances in Å follow each position.
Atoms (fractional coordinates):
Ce1 0.8682 0.3734 0.7022  7 Se 2.87-3.07
Ce2 0.7022 0.8682 0.3734  7 Se 2.87-3.07
Ce3 0.6266 0.2978 0.1318  7 Se 2.87-3.07
Ce4 0.1318 0.6266 0.2978  7 Se 2.87-3.07
Ce5 0.3734 0.7022 0.8682  7 Se 2.87-3.07
Ce6 0.2978 0.1318 0.6266  7 Se 2.87-3.07
Se1 0.9697 0.3068 0.0564  1 Si 2.56
Se2 0.3068 0.0564 0.9697  1 Si 2.56
Se3 0.1785 0.4328 0.5801  4 Ce 2.87-3.04
Se4 0.0303 0.6932 0.9436  1 Si 2.56
Se5 0.0564 0.9697 0.3068  1 Si 2.56
Se6 0.5672 0.4199 0.8215  4 Ce 2.87-3.04
Se7 0.5801 0.1785 0.4328  4 Ce 2.87-3.04
Se8 0.4199 0.8215 0.5672  4 Ce 2.87-3.04
Se9 0.8215 0.5672 0.4199  4 Ce 2.87-3.04
Se10 0.4328 0.5801 0.1785  4 Ce 2.87-3.04
Se11 0.9436 0.0303 0.6932  1 Si 2.56
Se12 0.6932 0.9436 0.0303  1 Si 2.56
Si1 0.0000 0.0000 0.0000  6 Se 2.56

Electronic total energy   -5.87 eV per atom
Crystal system   trigonal
Raw formation energy   -1.514 eV/atom
Size of the total moment   3.5 Bohr magnetons per cell

Entry 4:
A plane-wave DFT calculation with PBE-GGA was carried out for a geometry-optimized In2Hg2BiPb structure.

Cell lengths 4.6459, 7.0079, 10.5440 Å; angles 90.00, 90.00, 90.00 degrees
Closest atoms and distances in Å follow each position.
Atoms (fractional coordinates):
Bi1 0.5000 0.6494 0.3244  5 In 3.37-3.76, 4 Pb 3.42-3.49, 3 Hg 3.44-3.51
Bi2 0.5000 0.1494 0.6756  5 In 3.37-3.76, 4 Pb 3.42-3.49, 3 Hg 3.44-3.51
Hg1 0.5000 0.0951 0.0002  5 In 3.20-3.40, 6 Hg 3.33-3.50, 1 Bi 3.44
Hg2 0.5000 0.5951 0.9998  5 In 3.20-3.40, 6 Hg 3.33-3.50, 1 Bi 3.44
Hg3 0.0000 0.3609 0.1642  4 In 3.16-3.44, 4 Hg 3.33-3.44, 2 Bi 3.51
Hg4 0.0000 0.8609 0.8358  4 In 3.16-3.44, 4 Hg 3.33-3.44, 2 Bi 3.51
In1 0.0000 0.3702 0.8541  7 Hg 3.20-3.57, 2 Bi 3.37
In2 0.5000 0.1623 0.3196  3 Hg 3.16-3.40, 1 Bi 3.41, 4 Pb 3.43-3.53
In3 0.0000 0.8702 0.1459  7 Hg 3.20-3.57, 2 Bi 3.37
In4 0.5000 0.6623 0.6804  3 Hg 3.16-3.40, 1 Bi 3.41, 4 Pb 3.43-3.53
Pb1 0.0000 0.9077 0.4884  4 Bi 3.42-3.49, 5 In 3.43-3.62, 2 Pb 3.51, 1 Hg 3.68
Pb2 0.0000 0.4077 0.5116  4 Bi 3.42-3.49, 5 In 3.43-3.62, 2 Pb 3.51, 1 Hg 3.68

Electronic total energy   -2.26 eV per atom
Crystal system   orthorhombic
Size of the total moment   0.0 Bohr magnetons per cell
E_form   0.02 eV per atom

Entry 5:
A plane-wave DFT calculation with PBE-GGA was carried out for a geometry-optimized Mg3Au8 structure.

Cell lengths 4.0625, 5.1232, 10.6301 Å; angles 103.63, 90.00, 113.36 degrees
Closest atoms and distances in Å follow each position.
Atoms (fractional coordinates):
Au1 0.6288 0.2576 0.4538  7 Au 2.84-3.02, 5 Mg 2.92-2.99
Au2 0.7247 0.4494 0.0890  8 Au 2.90-2.95, 4 Mg 2.91-2.98
Au3 0.8172 0.6345 0.7262  4 Mg 2.86-3.01, 8 Au 2.92-2.98
Au4 0.5445 0.0891 0.8188  4 Mg 2.90, 8 Au 2.93-2.97
Au5 0.1828 0.3655 0.2738  4 Mg 2.86-3.01, 8 Au 2.92-2.98
Au6 0.2753 0.5506 0.9110  8 Au 2.90-2.95, 4 Mg 2.91-2.98
Au7 0.4555 0.9109 0.1812  4 Mg 2.90, 8 Au 2.93-2.97
Au8 0.3712 0.7424 0.5462  7 Au 2.84-3.02, 5 Mg 2.92-2.99
Mg1 0.9009 0.8018 0.3579  11 Au 2.86-3.01, 1 Mg 3.12
Mg2 0.0000 0.0000 0.0000  12 Au 2.90-2.98
Mg3 0.0991 0.1982 0.6421  11 Au 2.86-3.01, 1 Mg 3.12

Electronic total energy   -3.24 eV per atom
Crystal system   monoclinic
Size of the total moment   0.0 Bohr magnetons per cell
Excess energy over the best structure of this formula in the dataset   0 meV/atom
E_form   -0.42 eV per atom

Entry 6:
A plane-wave DFT calculation with PBE-GGA was carried out for a geometry-optimized Zn2GeTePt structure.

Cell lengths 4.7616, 5.5200, 4.7616 Å; angles 90.00, 90.00, 90.00 degrees
Closest atoms and distances in Å follow each position.
Atoms (fractional coordinates):
Zn1 0.0000 0.0000 0.5000  2 Pt 2.38
Zn2 0.5000 0.0000 0.0000  2 Pt 2.38
Te1 0.0000 0.5000 0.0000  2 Pt 2.76
Ge1 0.5000 0.5000 0.5000  4 Te 3.37, 8 Zn 3.64
Pt1 0.0000 0.0000 0.0000  4 Zn 2.38

Electronic total energy   -3.04 eV per atom
Crystal system   tetragonal
Raw formation energy   0.230 eV/atom
Size of the total moment   0.3 Bohr magnetons per cell

Entry 7:
A plane-wave DFT calculation with PBE-GGA was carried out for a geometry-optimized Sc2MnHIr structure.

Cell lengths 4.5010, 4.5010, 3.3703 Å; angles 90.00, 90.00, 90.00 degrees
Closest atoms and distances in Å follow each position.
Atoms (fractional coordinates):
H1 0.0000 0.0000 0.0000  2 Mn 1.69
Sc1 0.5000 0.0000 0.0000  2 H 2.25
Sc2 0.0000 0.5000 0.0000  2 H 2.25
Mn1 0.0000 0.0000 0.5000  2 H 1.69
Ir1 0.5000 0.5000 0.5000  8 Sc 2.81

Electronic total energy   -7.33 eV per atom
Crystal system   tetragonal
Size of the total moment   1.4 Bohr magnetons per cell

Entry 8:
A plane-wave DFT calculation with PBE-GGA was carried out for a geometry-optimized MgZrAu2 structure.

Cell lengths 4.9562, 3.1035, 5.0198 Å; angles 89.99, 90.00, 90.00 degrees
Closest atoms and distances in Å follow each position.
Atoms (fractional coordinates):
Au1 0.5000 0.1249 0.3489  4 Mg 2.93, 4 Zr 2.94-2.96, 2 Au 3.10
Au2 0.0000 0.1251 0.9091  4 Mg 2.88-3.03, 4 Zr 2.94, 2 Au 3.10
Mg1 0.0000 0.6248 0.3916  8 Au 2.88-3.03, 2 Mg 3.10
Zr1 0.5000 0.6251 0.8504  8 Au 2.94-2.96, 2 Zr 3.10

Electronic total energy   -4.69 eV per atom
Crystal system   orthorhombic
Size of the total moment   0.0 Bohr magnetons per cell
E_form   -0.51 eV per atom

Entry 9:
A plane-wave DFT calculation with PBE-GGA was carried out for a geometry-optimized CaGa2PtSe structure.

Cell lengths 4.7574, 5.6793, 4.7574 Å; angles 90.00, 90.00, 90.00 degrees
Closest atoms and distances in Å follow each position.
Atoms (fractional coordinates):
Ca1 0.0000 0.5000 0.0000  2 Pt 2.84
Ga1 0.5000 0.0000 0.0000  2 Pt 2.38
Ga2 0.0000 0.0000 0.5000  2 Pt 2.38
Pt1 0.0000 0.0000 0.0000  4 Ga 2.38
Se1 0.5000 0.5000 0.5000  4 Ca 3.36, 8 Ga 3.70

Electronic total energy   -4.25 eV per atom
Crystal system   tetragonal
Raw formation energy   -0.734 eV/atom
Size of the total moment   0.0 Bohr magnetons per cell

Entry 10:
A plane-wave DFT calculation with PBE-GGA was carried out for a geometry-optimized Tb2Hg3Rh2 structure.

Cell lengths 3.7906, 4.0565, 10.5490 Å; angles 101.09, 90.00, 90.00 degrees
Closest atoms and distances in Å follow each position.
Atoms (fractional coordinates):
Hg1 0.5000 0.4264 0.8527  1 Rh 2.73, 1 Hg 3.05
Hg2 0.5000 0.5736 0.1473  1 Rh 2.73, 1 Hg 3.05
Hg3 0.0000 0.0000 0.0000  8 Hg 3.17
Rh1 0.5000 0.2947 0.5893  1 Hg 2.73, 2 Rh 2.74, 4 Tb 2.85
Rh2 0.5000 0.7053 0.4107  1 Hg 2.73, 2 Rh 2.74, 4 Tb 2.85
Tb1 0.0000 0.1734 0.3469  6 Rh 2.85-3.15
Tb2 0.0000 0.8266 0.6531  6 Rh 2.85-3.15

Electronic total energy   -4.06 eV per atom
Crystal system   orthorhombic
Size of the total moment   0.0 Bohr magnetons per cell
Excess energy over the best structure of this formula in the dataset   0 meV/atom
E_form   -0.51 eV per atom

Entry 11:
A plane-wave DFT calculation with PBE-GGA was carried out for a geometry-optimized Pr2Sm2Ho4Er structure.

Cell lengths 3.6210, 9.5615, 9.6248 Å; angles 115.22, 90.00, 100.92 degrees
Closest atoms and distances in Å follow each position.
Atoms (fractional coordinates):
Ho1 0.1849 0.3697 0.3362  3 Sm 3.51-3.64, 6 Ho 3.54-3.62, 1 Er 3.57, 2 Pr 3.58
Ho2 0.5195 0.0390 0.3324  4 Sm 3.53-3.63, 1 Pr 3.55, 2 Er 3.55, 5 Ho 3.58-3.62
Ho3 0.8151 0.6303 0.6638  3 Sm 3.51-3.64, 6 Ho 3.54-3.62, 1 Er 3.57, 2 Pr 3.58
Ho4 0.4805 0.9610 0.6676  4 Sm 3.53-3.63, 1 Pr 3.55, 2 Er 3.55, 5 Ho 3.58-3.62
Sm1 0.1468 0.2936 0.6620  7 Ho 3.51-3.64, 3 Pr 3.62, 2 Sm 3.62
Sm2 0.8532 0.7064 0.3380  7 Ho 3.51-3.64, 3 Pr 3.62, 2 Sm 3.62
Er1 0.0000 0.0000 0.0000  6 Ho 3.55-3.57, 4 Pr 3.58, 2 Er 3.62
Pr1 0.6647 0.3294 0.0008  3 Ho 3.55-3.58, 2 Er 3.58, 3 Sm 3.62, 4 Pr 3.62-3.69
Pr2 0.3353 0.6706 0.9992  3 Ho 3.55-3.58, 2 Er 3.58, 3 Sm 3.62, 4 Pr 3.62-3.69

Electronic total energy   -4.65 eV per atom
Crystal system   monoclinic
Size of the total moment   0.0 Bohr magnetons per cell
E_form   0.00 eV per atom

Entry 12:
A plane-wave DFT calculation with PBE-GGA was carried out for a geometry-optimized NaSb3 structure.

Cell lengths 4.6675, 4.6675, 5.9984 Å; angles 112.90, 112.90, 90.00 degrees
Closest atoms and distances in Å follow each position.
Atoms (fractional coordinates):
Sb1 0.5000 0.5000 0.0000  4 Na 3.30, 8 Sb 3.42
Sb2 0.2500 0.7500 0.5000  8 Sb 3.30-3.42, 4 Na 3.42
Sb3 0.7500 0.2500 0.5000  8 Sb 3.30-3.42, 4 Na 3.42
Na1 0.0000 0.0000 0.0000  12 Sb 3.30-3.42

Electronic total energy   -3.42 eV per atom
Crystal system   tetragonal
Raw formation energy   0.002 eV/atom
Size of the total moment   0.0 Bohr magnetons per cell